Computed, not measured: an optimized crystal structure of KTc2 at the PBE-GGA level of DFT.

Output
Total magnetic moment   1.2 μB/cell
Energy of formation   1.241 eV per atom
Raw total energy   -6.0358 eV per atom

Cell lengths 6.449, 3.884, 12.259 Å; angles 90.00, 90.00, 90.00 degrees
Space group Pnma (No. 62)
Inequivalent atoms, fractional coordinates:
1 K 0.090 0.250 0.127 x4
2 Tc 0.071 0.750 0.343 x4
3 Tc 0.099 0.250 0.449 x4